# 1
Tb2Sm6Th3: relaxed, GGA-PBE.

Cell: 3.6027 3.6027 96.7453 Å, 90.00 90.00 120.00°
Space group R-3m (No. 166, hexagonal axes)
Inequivalent atoms, fractional coordinates:
Tb: 0.0000 0.0000 0.0455 x6
Sm: 0.0000 0.0000 0.1366 x6
Sm: 0.0000 0.0000 0.3178 x6
Sm: 0.0000 0.0000 0.4099 x6
Th: 0.0000 0.0000 0.2271 x6
Th: 0.0000 0.0000 0.5000 x3

Properties
The value obtained for the density of states at the Fermi level is 50.1 states/eV per cell. As for the energy relative to the elements: 0.031 eV/atom. The crystal system is trigonal.



# 2
ZnCu5Au2: relaxed, GGA-PBE.

Cell: 4.636 10.976 8.903 Å, 90.00 100.18 90.00°
Space group P2_1/c (No. 14)
Inequivalent atoms, fractional coordinates:
Zn: 0.125 0.197 0.125 x4
Cu: 0.126 0.065 0.625 x4
Cu: 0.128 0.685 0.126 x4
Cu: 0.375 0.696 0.875 x4
Cu: 0.376 0.565 0.375 x4
Cu: 0.379 0.187 0.876 x4
Au: 0.123 0.573 0.625 x4
Au: 0.374 0.071 0.375 x4

Properties
The value obtained for the energy relative to the lowest polymorph listed for this composition is 0.000 eV/atom. The value obtained for the density of states at the Fermi level is 8.5 states/eV per cell. As for the energy relative to the elements: -0.044 eV/atom. The crystal system is monoclinic.



# 3
Dy2PaPb: relaxed, GGA-PBE.

Cell: 3.525 3.525 9.172 Å, 90.00 90.00 90.00°
Space group P4/mmm (No. 123)
Inequivalent atoms, fractional coordinates:
Dy: 0.000 0.000 0.244 x2
Pa: 0.500 0.500 0.500 x1
Pb: 0.500 0.500 0.000 x1

Properties
The value obtained for the energy relative to the lowest polymorph listed for this composition is 0.000 eV/atom. The value obtained for the density of states at the Fermi level is 6.0 states/eV per cell. As for the energy relative to the elements: -0.069 eV/atom. The crystal system is tetragonal.



# 4
BH6Pd8: relaxed, GGA-PBE.

Cell: 7.5606 7.5606 9.1764 Å, 90.00 90.00 120.00°
Space group R-3 (No. 148, hexagonal axes)
Inequivalent atoms, fractional coordinates:
B: 0.0000 0.0000 0.0000 x3
H: 0.0184 0.7998 0.4036 x18
Pd: 0.0000 0.0000 0.2157 x6
Pd: 0.0146 0.6322 0.2600 x18

Properties
The value obtained for the density of states at the Fermi level is 12.2 states/eV per cell. The calculation puts the total energy at -4.596 eV/atom. The crystal system is trigonal.



# 5
Hf3ZrSc4N8: relaxed, GGA-PBE.

Cell: 6.4136 6.4136 15.7266 Å, 90.00 90.00 120.00°
Space group R-3m (No. 166, hexagonal axes)
Inequivalent atoms, fractional coordinates:
Hf: 0.0000 0.5000 0.0000 x9
Zr: 0.0000 0.0000 0.0000 x3
Sc: 0.0000 0.0000 0.5000 x3
Sc: 0.0000 0.5000 0.5000 x9
N: 0.0000 0.0000 0.2520 x6
N: 0.0043 0.5022 0.2510 x18

Properties
The value obtained for the density of states at the Fermi level is 16.3 states/eV per cell. The crystal system is trigonal. For the uncorrected formation energy, the calculation gives -1.893 eV per atom.



# 6
Tb12ErCo6: relaxed, GGA-PBE.

Cell: 9.797 9.797 9.797 Å, 90.00 90.00 90.00°
Space group Im-3 (No. 204)
Inequivalent atoms, fractional coordinates:
Tb: 0.000 0.309 0.194 x24
Er: 0.000 0.000 0.000 x2
Co: 0.000 0.113 0.500 x12

Properties
The value obtained for the density of states at the Fermi level is 33.8 states/eV per cell. As for the energy relative to the elements: -0.124 eV/atom. The crystal system is cubic.



# 7
Y8CdOs2: relaxed, GGA-PBE.

Cell: 8.811 13.101 5.531 Å, 90.00 103.52 90.00°
Space group C2/m (No. 12)
Inequivalent atoms, fractional coordinates:
Y: 0.000 0.248 0.000 x4
Y: 0.117 0.500 0.799 x4
Y: 0.196 0.134 0.582 x8
Cd: 0.000 0.000 0.000 x2
Os: 0.000 0.315 0.500 x4

Properties
The value obtained for the density of states at the Fermi level is 22.1 states/eV per cell. As for the energy relative to the elements: -0.162 eV/atom. The crystal system is monoclinic.



# 8
MgHgPS2: relaxed, GGA-PBE.

Cell: 4.734 4.734 5.184 Å, 90.00 90.00 90.00°
Space group P4/mmm (No. 123)
Inequivalent atoms, fractional coordinates:
Mg: 0.000 0.000 0.000 x1
Hg: 0.500 0.500 0.500 x1
P: 0.000 0.000 0.500 x1
S: 0.000 0.500 0.000 x2

Properties
The value obtained for the energy relative to the lowest polymorph listed for this composition is 0.000 eV/atom. The value obtained for the density of states at the Fermi level is 6.0 states/eV per cell. The crystal system is tetragonal. For the uncorrected formation energy, the calculation gives 0.515 eV per atom.



# 9
Pm4MgZn2In: relaxed, GGA-PBE.

Cell: 5.3077 5.3077 26.2517 Å, 90.00 90.00 120.00°
Space group R-3m (No. 166, hexagonal axes)
Inequivalent atoms, fractional coordinates:
Pm: 0.0000 0.0000 0.1245 x6
Pm: 0.0000 0.0000 0.3752 x6
Mg: 0.0000 0.0000 0.0000 x3
Zn: 0.0000 0.0000 0.2553 x6
In: 0.0000 0.0000 0.5000 x3

Properties
The value obtained for the density of states at the Fermi level is 28.2 states/eV per cell. As for the energy relative to the elements: -0.284 eV/atom. The crystal system is trigonal.



# 10
SmHfCu10: relaxed, GGA-PBE.

Cell: 4.093 4.986 8.599 Å, 90.00 90.00 90.00°
Space group Pmmm (No. 47)
Inequivalent atoms, fractional coordinates:
Sm: 0.000 0.000 0.000 x1
Hf: 0.000 0.500 0.500 x1
Cu: 0.000 0.000 0.342 x2
Cu: 0.000 0.500 0.178 x2
Cu: 0.500 0.000 0.500 x1
Cu: 0.500 0.255 0.259 x4
Cu: 0.500 0.500 0.000 x1

Properties
The value obtained for the density of states at the Fermi level is 8.9 states/eV per cell. As for the energy relative to the elements: -0.096 eV/atom. The crystal system is orthorhombic.



# 11
Hf3Si6Ni20: relaxed, GGA-PBE.

Cell: 11.263 11.263 11.263 Å, 90.00 90.00 90.00°
Space group Fm-3m (No. 225)
Inequivalent atoms, fractional coordinates:
Hf: 0.000 0.000 0.000 x4
Hf: 0.250 0.250 0.250 x8
Si: 0.000 0.000 0.267 x24
Ni: 0.000 0.176 0.176 x48
Ni: 0.119 0.119 0.381 x32

Properties
The value obtained for the density of states at the Fermi level is 36.6 states/eV per cell. The crystal system is cubic. For the uncorrected formation energy, the calculation gives -0.521 eV per atom.



# 12
CsW: relaxed, GGA-PBE.

Cell: 3.274 3.868 11.536 Å, 90.00 90.00 90.00°
Space group Pmmn (No. 59, origin choice 2)
Inequivalent atoms, fractional coordinates:
Cs: 0.250 0.250 0.212 x2
W: 0.250 0.750 0.471 x2

Properties
The value obtained for the energy relative to the lowest polymorph listed for this composition is 0.030 eV/atom. The value obtained for the density of states at the Fermi level is 3.7 states/eV per cell. As for the energy relative to the elements: 1.250 eV/atom. The crystal system is orthorhombic.